1.
{
  "formula": "Al2GaAu",
  "functional": "PBE-GGA",
  "state": "relaxed",
  "n_ef_per_ev_atom": 0.39,
  "ef_ev_per_atom": 0.046,
  "energy_ev_per_atom": -3.401,
  "lattice_angstrom": [[2.888, 0.000, 0.000], [-1.444, 2.501, 0.000], [0.000, 0.000, 30.157]],
  "species": ["Al", "Al", "Al", "Al", "Al", "Al", "Ga", "Ga", "Ga", "Au", "Au", "Au"],
  "fractional_positions": [[0.000, 0.000, 0.088], [0.000, 0.000, 0.912], [0.333, 0.667, 0.579], [0.333, 0.667, 0.754], [0.667, 0.333, 0.246], [0.667, 0.333, 0.421], [0.000, 0.000, 0.500], [0.333, 0.667, 0.167], [0.667, 0.333, 0.833], [0.000, 0.000, 0.000], [0.333, 0.667, 0.667], [0.667, 0.333, 0.333]]
}

=====

2.
{
  "formula": "AlGa3Au",
  "functional": "PBE-GGA",
  "state": "relaxed",
  "n_ef_per_ev_atom": 0.50,
  "ef_ev_per_atom": 0.393,
  "energy_ev_per_atom": -2.828,
  "e_above_lowest_polymorph_ev_per_fu": 0.307,
  "lattice_angstrom": [[4.929, 0.000, 0.000], [0.000, 4.929, 0.000], [0.000, 0.000, 4.929]],
  "species": ["Al", "Ga", "Ga", "Ga", "Au"],
  "fractional_positions": [[0.000, 0.000, 0.000], [0.000, 0.000, 0.500], [0.000, 0.500, 0.000], [0.500, 0.000, 0.000], [0.500, 0.500, 0.500]]
}